[1]
DFT (PBE-GGA) results for a relaxed structure of InTe2P.

abc: 7.7774 7.7774 7.7774
angles: 151.28 150.97 41.29
Last column: nearest neighbours and their distance in Å.
Fractional coordinates of all 4 atoms:
In  0.0000  0.0000  0.0000  6 Te 3.08-3.27
Te  0.4039  0.4039  0.0000  4 In 3.08, 2 P 3.14
Te  0.6800  0.1800  0.5000  4 P 2.85
P  0.2337  0.7337  0.5000  6 Te 2.85-3.14

mass density: 6.08 g cm⁻³
excess energy over the best structure of this formula in the dataset: 172 meV per atom
formation energy from raw total energies: 0.1964 eV per atom


[2]
DFT (PBE-GGA) results for a relaxed structure of Zr2AlH.

abc: 7.7419 7.7419 7.7419
angles: 23.52 23.52 23.52
Last column: nearest neighbours and their distance in Å.
Fractional coordinates of all 4 atoms:
Zr  0.2278  0.2278  0.2278  3 H 2.29
Zr  0.7722  0.7722  0.7722  3 H 2.29
Al  0.0000  0.0000  0.0000  6 Zr 3.00, 6 Al 3.16
H  0.5000  0.5000  0.5000  6 Zr 2.29

mass density: 5.39 g cm⁻³
excess energy over the best structure of this formula in the dataset: 96 meV per atom


[3]
DFT (PBE-GGA) results for a relaxed structure of Nd4AlAu3.

abc: 3.8834 4.7334 11.5714
angles: 90.00 90.00 90.00
Last column: nearest neighbours and their distance in Å.
Fractional coordinates of all 8 atoms:
Nd  0.0000  0.0000  0.0000  6 Au 3.14-3.24, 1 Al 3.30
Nd  0.0000  0.5000  0.2789  7 Au 3.13-3.29
Nd  0.5000  0.0000  0.4957  5 Au 3.14-3.16, 2 Al 3.19
Nd  0.5000  0.5000  0.7870  3 Au 3.15-3.24, 4 Al 3.17
Al  0.0000  0.0000  0.7148  2 Au 2.95, 7 Nd 3.17-3.30
Au  0.0000  0.5000  0.5631  2 Al 2.95, 7 Nd 3.16-3.29
Au  0.5000  0.0000  0.2243  2 Au 3.04, 7 Nd 3.13-3.24
Au  0.5000  0.5000  0.0595  2 Au 3.04, 7 Nd 3.14-3.20

mass density: 9.33 g cm⁻³
E_form: -0.663 eV/atom


[4]
DFT (PBE-GGA) results for a relaxed structure of Pr2Ga4Pt5.

abc: 9.2149 8.3355 5.6078
angles: 80.14 63.02 36.84
Last column: nearest neighbours and their distance in Å.
Fractional coordinates of all 11 atoms:
Pr  0.1289  0.1289  0.8711  6 Ga 3.21-3.32, 10 Pt 3.39-3.48
Pr  0.8711  0.8711  0.1289  6 Ga 3.21-3.32, 10 Pt 3.39-3.48
Ga  0.2129  0.5281  0.4719  5 Pt 2.52-2.63
Ga  0.4719  0.7871  0.2129  5 Pt 2.52-2.63
Ga  0.5281  0.2129  0.7871  5 Pt 2.52-2.63
Ga  0.7871  0.4719  0.5281  5 Pt 2.52-2.63
Pt  0.0000  0.0000  0.5000  4 Ga 2.63, 4 Pt 2.80-2.83
Pt  0.2500  0.2500  0.2500  4 Ga 2.52
Pt  0.5000  0.5000  0.0000  4 Ga 2.63, 4 Pt 2.80-2.83
Pt  0.5000  0.5000  0.5000  4 Ga 2.54, 4 Pt 2.80
Pt  0.7500  0.7500  0.7500  4 Ga 2.52

mass density: 11.87 g cm⁻³
E_form: -0.879 eV/atom


[5]
DFT (PBE-GGA) results for a relaxed structure of WCBr3.

abc: 5.0847 5.0847 5.0847
angles: 90.00 90.00 90.00
Last column: nearest neighbours and their distance in Å.
Fractional coordinates of all 5 atoms:
W  0.0000  0.0000  0.0000  6 Br 2.54
C  0.5000  0.5000  0.5000  12 Br 3.60
Br  0.0000  0.0000  0.5000  2 W 2.54
Br  0.0000  0.5000  0.0000  2 W 2.54
Br  0.5000  0.0000  0.0000  2 W 2.54

mass density: 5.50 g cm⁻³
excess energy over the best structure of this formula in the dataset: 0 meV per atom
formation energy from raw total energies: 1.6076 eV per atom


[6]
DFT (PBE-GGA) results for a relaxed structure of AlPb3W.

abc: 5.3305 5.3305 5.3305
angles: 90.00 90.00 90.00
Last column: nearest neighbours and their distance in Å.
Fractional coordinates of all 5 atoms:
Al  0.0000  0.0000  0.0000  6 Pb 2.67
Pb  0.0000  0.0000  0.5000  2 Al 2.67
Pb  0.0000  0.5000  0.0000  2 Al 2.67
Pb  0.5000  0.0000  0.0000  2 Al 2.67
W  0.5000  0.5000  0.5000  12 Pb 3.77

mass density: 9.13 g cm⁻³
excess energy over the best structure of this formula in the dataset: 643 meV per atom
E_form: 1.471 eV/atom


[7]
DFT (PBE-GGA) results for a relaxed structure of KBaSe2.

abc: 9.0998 9.0998 9.0998
angles: 156.25 151.65 37.31
Last column: nearest neighbours and their distance in Å.
Fractional coordinates of all 4 atoms:
K  0.0000  0.0000  0.0000  6 Se 3.38-3.42, 2 K 3.75
Ba  0.7539  0.2539  0.5000  6 Se 3.30-3.31
Se  0.1633  0.6633  0.5000  4 Ba 3.30, 2 K 3.38
Se  0.3958  0.3958  0.0000  2 Ba 3.31, 4 K 3.42

mass density: 3.86 g cm⁻³
formation energy from raw total energies: -1.2236 eV per atom


[8]
DFT (PBE-GGA) results for a relaxed structure of Ce3Th2Os2.

abc: 4.1260 3.9856 12.9973
angles: 90.00 99.17 90.00
Last column: nearest neighbours and their distance in Å.
Fractional coordinates of all 7 atoms:
Ce  0.0000  0.0000  0.0000  2 Os 2.59
Ce  0.2133  0.0000  0.4271  2 Ce 2.78-2.79, 1 Os 2.89
Ce  0.7867  0.0000  0.5729  2 Ce 2.78-2.79, 1 Os 2.89
Th  0.3941  0.5000  0.7887  4 Os 2.87
Th  0.6059  0.5000  0.2113  4 Os 2.87
Os  0.1011  0.0000  0.2015  2 Ce 2.59-2.89, 4 Th 2.87
Os  0.8989  0.0000  0.7985  2 Ce 2.59-2.89, 4 Th 2.87

mass density: 9.95 g cm⁻³
excess energy over the best structure of this formula in the dataset: 187 meV per atom
E_form: 0.000 eV/atom